A relaxed structure of Nd6ZnOs2Br3, computed with PBE.

Values from the calculation:
space-group type = C2/m, No. 12
E_form (uncorrected) = -0.7255 eV per atom
DOS(E_F) = 6.1 states/eV/cell

Geometry as POSCAR:
```
Nd6ZnOs2Br3
1.0
3.615 -6.266 0.000
3.615 6.266 0.000
-2.405 0.000 7.855
Nd Zn Os Br
6 1 2 3
direct
0.077 0.433 0.799 Nd
0.210 0.210 0.201 Nd
0.433 0.077 0.799 Nd
0.567 0.923 0.201 Nd
0.790 0.790 0.799 Nd
0.923 0.567 0.201 Nd
0.500 0.500 0.000 Zn
0.166 0.834 0.000 Os
0.834 0.166 0.000 Os
0.000 0.000 0.500 Br
0.332 0.668 0.500 Br
0.668 0.332 0.500 Br
```

---

A relaxed structure of K2AlHg, computed with PBE.

Values from the calculation:
space-group type = P4/mmm, No. 123
energy relative to the lowest polymorph listed for this composition = 0.197 eV/atom
DOS(E_F) = 2.4 states/eV/cell
formation energy from the elements = 0.203 eV/atom

Geometry as POSCAR:
```
K2AlHg
1.0
5.125 0.000 0.000
0.000 5.125 0.000
0.000 0.000 5.281
K Al Hg
2 1 1
direct
0.000 0.500 0.000 K
0.500 0.000 0.000 K
0.000 0.000 0.500 Al
0.500 0.500 0.500 Hg
```

---

A relaxed structure of Ce2CN, computed with PBE.

Values from the calculation:
space-group type = I4_1/amd, No. 141
energy relative to the lowest polymorph listed for this composition = 0.000 eV/atom
E_form (uncorrected) = -0.7885 eV per atom
DOS(E_F) = 18.7 states/eV/cell

Geometry as POSCAR:
```
Ce2CN
1.0
5.126 0.000 0.000
0.000 5.126 0.000
0.000 0.000 10.267
Ce C N
8 4 4
direct
0.000 0.250 0.122 Ce
0.000 0.250 0.628 Ce
0.000 0.750 0.372 Ce
0.000 0.750 0.878 Ce
0.500 0.250 0.378 Ce
0.500 0.250 0.872 Ce
0.500 0.750 0.128 Ce
0.500 0.750 0.622 Ce
0.000 0.250 0.375 C
0.000 0.750 0.625 C
0.500 0.250 0.125 C
0.500 0.750 0.875 C
0.000 0.250 0.875 N
0.000 0.750 0.125 N
0.500 0.250 0.625 N
0.500 0.750 0.375 N
```

---

A relaxed structure of Ca2Cu4GeSb3, computed with PBE.

Values from the calculation:
space-group type = P-4m2, No. 115
E_form (uncorrected) = -0.3912 eV per atom
DOS(E_F) = 1.8 states/eV/cell

Geometry as POSCAR:
```
Ca2Cu4GeSb3
1.0
4.330 0.000 0.000
0.000 4.330 0.000
0.000 0.000 11.107
Ca Cu Ge Sb
2 4 1 3
direct
0.000 0.500 0.245 Ca
0.500 0.000 0.755 Ca
0.000 0.000 0.000 Cu
0.000 0.500 0.635 Cu
0.500 0.000 0.365 Cu
0.500 0.500 0.000 Cu
0.000 0.000 0.500 Ge
0.000 0.500 0.863 Sb
0.500 0.000 0.137 Sb
0.500 0.500 0.500 Sb
```

---

A relaxed structure of ScZn2AgPd, computed with PBE.

Values from the calculation:
space-group type = Cmcm, No. 63
DOS(E_F) = 7.1 states/eV/cell
formation energy from the elements = -0.205 eV/atom

Geometry as POSCAR:
```
ScZn2AgPd
1.0
1.524 -8.408 0.000
1.524 8.408 0.000
0.000 0.000 7.387
Sc Zn Ag Pd
2 4 2 2
direct
0.104 0.896 0.750 Sc
0.896 0.104 0.250 Sc
0.340 0.660 0.564 Zn
0.340 0.660 0.936 Zn
0.660 0.340 0.064 Zn
0.660 0.340 0.436 Zn
0.500 0.500 0.000 Ag
0.500 0.500 0.500 Ag
0.257 0.743 0.250 Pd
0.743 0.257 0.750 Pd
```

---

A relaxed structure of La2PrY3Tm6, computed with PBE.

Values from the calculation:
space-group type = C2/m, No. 12
DOS(E_F) = 16.9 states/eV/cell
formation energy from the elements = 0.029 eV/atom

Geometry as POSCAR:
```
La2PrY3Tm6
1.0
3.101 -5.368 0.000
3.101 5.368 0.000
-2.062 0.000 11.584
La Pr Y Tm
2 1 3 6
direct
0.167 0.833 0.000 La
0.833 0.167 0.000 La
0.500 0.500 0.000 Pr
0.000 0.000 0.500 Y
0.333 0.667 0.500 Y
0.667 0.333 0.500 Y
0.081 0.414 0.746 Tm
0.253 0.253 0.254 Tm
0.414 0.081 0.746 Tm
0.586 0.919 0.254 Tm
0.747 0.747 0.746 Tm
0.919 0.586 0.254 Tm
```

---

Repeat the first record exactly.
A relaxed structure of Nd6ZnOs2Br3, computed with PBE.

Values from the calculation:
space-group type = C2/m, No. 12
E_form (uncorrected) = -0.7255 eV per atom
DOS(E_F) = 6.1 states/eV/cell

Geometry as POSCAR:
```
Nd6ZnOs2Br3
1.0
3.615 -6.266 0.000
3.615 6.266 0.000
-2.405 0.000 7.855
Nd Zn Os Br
6 1 2 3
direct
0.077 0.433 0.799 Nd
0.210 0.210 0.201 Nd
0.433 0.077 0.799 Nd
0.567 0.923 0.201 Nd
0.790 0.790 0.799 Nd
0.923 0.567 0.201 Nd
0.500 0.500 0.000 Zn
0.166 0.834 0.000 Os
0.834 0.166 0.000 Os
0.000 0.000 0.500 Br
0.332 0.668 0.500 Br
0.668 0.332 0.500 Br
```

---

Among the records above, which one has the lowest DOS(E_F)? Ca2Cu4GeSb3

---

Look up the DOS(E_F) of the first one. 6.1 states/eV/cell